1.
Computed, not measured: a geometry-optimized Y3Rh structure at the GGA-PBEsol level of DFT.

## Properties
* E_tot: -7.26 eV per atom

a b c (Å): 4.564 4.564 4.564
angles (deg): 90.00 90.00 90.00
Fractional positions:
Y  0.000  0.000  0.500
Y  0.000  0.500  0.000
Y  0.500  0.000  0.000
Rh  0.500  0.500  0.500

=====

2.
Computed, not measured: a geometry-optimized InNiS2Cl structure at the GGA-PBEsol level of DFT.

## Properties
* uncorrected formation energy: 63.6 kJ per mole of atoms
* E_tot: -3.32 eV per atom

a b c (Å): 4.947 4.947 4.917
angles (deg): 90.00 90.00 90.00
Fractional positions:
In  0.000  0.000  0.000
Ni  0.500  0.500  0.500
S  0.000  0.500  0.000
S  0.500  0.000  0.000
Cl  0.000  0.000  0.500

=====

3.
Computed, not measured: a geometry-optimized NaFeWS2 structure at the GGA-PBEsol level of DFT.

## Properties
* uncorrected formation energy: 76.7 kJ per mole of atoms
* E_tot: -5.79 eV per atom

a b c (Å): 4.543 4.543 4.449
angles (deg): 90.00 90.00 90.00
Fractional positions:
Na  0.000  0.000  0.000
Fe  0.500  0.500  0.500
W  0.500  0.500  0.000
S  0.000  0.500  0.500
S  0.500  0.000  0.500

=====

4.
Computed, not measured: a geometry-optimized CaBiH2 structure at the GGA-PBEsol level of DFT.

## Properties
* E_tot: -3.29 eV per atom

a b c (Å): 6.629 6.629 6.629
angles (deg): 135.53 135.53 64.70
Fractional positions:
Ca  0.000  0.000  0.000
Ca  0.750  0.250  0.500
Bi  0.250  0.750  0.500
Bi  0.500  0.500  0.000
H  0.070  0.625  0.945
H  0.375  0.320  0.445
H  0.680  0.125  0.055
H  0.875  0.930  0.555

=====

5.
Computed, not measured: a geometry-optimized ScBi3Pb structure at the GGA-PBEsol level of DFT.

## Properties
* E_tot: -3.85 eV per atom

a b c (Å): 5.733 5.733 5.733
angles (deg): 90.00 90.00 90.00
Fractional positions:
Sc  0.000  0.000  0.000
Bi  0.000  0.500  0.500
Bi  0.500  0.000  0.500
Bi  0.500  0.500  0.000
Pb  0.500  0.500  0.500

=====

6.
Computed, not measured: a geometry-optimized Na3LiGa structure at the GGA-PBEsol level of DFT.

## Properties
* E_tot: -1.65 eV per atom

a b c (Å): 5.642 5.642 5.642
angles (deg): 90.00 90.00 90.00
Fractional positions:
Na  0.000  0.000  0.500
Na  0.000  0.500  0.000
Na  0.500  0.000  0.000
Li  0.500  0.500  0.500
Ga  0.000  0.000  0.000

=====

> Among the records above, which one has the lowest E_tot?

Y3Rh

=====

> E_tot of number 4 (CaBiH2)?

-3.29 eV per atom

=====

> Which of these has the lowest E_tot?

Y3Rh

=====

> What is the E_tot in the fourth record?

-3.29 eV per atom